DFT (PBE-GGA) results for a relaxed structure of LaCuOs2.

Output
Its crystal system is tetragonal. The value obtained for the calculated formation energy is 2.49 eV/f.u. The space group is P4/mmm. Its energy above the most stable polymorph in this dataset is 365.6 meV per atom.

a b c (Å): 3.2162 3.2162 6.9775
angles (deg): 90.00 90.00 90.00
Element x y z (fractional)
La (0.0000, 0.0000, 0.0000)
Cu (0.0000, 0.0000, 0.5000)
Os (0.5000, 0.5000, 0.3206)
Os (0.5000, 0.5000, 0.6794)